[1]
## KAg2Bi (PBE-GGA)

Data for a geometry-optimized KAg2Bi structure.

The structure in POSCAR format:
```
KAg2Bi
1.0
5.698 0.000 0.000
0.000 5.698 0.000
0.000 0.000 18.963
K Ag Bi
4 8 4
Cartesian
0.000 0.000 0.000 K
0.000 2.849 4.741 K
2.849 0.000 14.222 K
2.849 2.849 9.481 K
0.038 1.424 11.852 Ag
1.424 2.887 16.593 Ag
1.424 5.660 7.111 Ag
2.811 1.424 2.370 Ag
2.887 4.273 2.370 Ag
4.273 0.038 7.111 Ag
4.273 2.811 16.593 Ag
5.660 4.273 11.852 Ag
0.000 0.000 9.481 Bi
0.000 2.849 14.222 Bi
2.849 0.000 4.741 Bi
2.849 2.849 0.000 Bi
```

- Space group: I-42d (122)

***

[2]
## SmHo2Hf (PBE-GGA)

Data for a geometry-optimized SmHo2Hf structure.

The structure in POSCAR format:
```
SmHo2Hf
1.0
4.846 0.000 0.000
0.000 4.846 0.000
0.000 0.000 4.875
Sm Ho Hf
1 2 1
Cartesian
0.000 0.000 0.000 Sm
0.000 2.423 2.438 Ho
2.423 0.000 2.438 Ho
2.423 2.423 0.000 Hf
```

- Space group: P4/mmm (123)
- Energy relative to the lowest polymorph listed for this composition: 41 meV/atom

***

[3]
## BaEuDy (PBE-GGA)

Data for a geometry-optimized BaEuDy structure.

The structure in POSCAR format:
```
BaEuDy
1.0
3.890 0.000 0.000
-1.945 3.369 0.000
0.000 0.000 9.651
Ba Eu Dy
1 1 1
Cartesian
0.000 0.000 0.000 Ba
0.000 2.246 6.121 Eu
1.945 1.123 3.232 Dy
```

- Space group: P3m1 (156)
- Energy relative to the lowest polymorph listed for this composition: 0 meV/atom

***

no.,energy of formation from the pure elements (eV/atom),E (eV/atom)
1,0.008,-2.66
2,0.151,-5.81
3,0.172,-5.43